# 1
The following is a DFT calculation (PBE) of CaNb2Co2 after structural relaxation.

Structure (extended XYZ):
```
5
Lattice="-2.2222 2.2222 4.8434 2.2222 -2.2222 4.8434 2.2222 2.2222 -4.8434" Properties=species:S:1:pos:R:3 pbc="T T T"
Ca 0.0000 0.0000 0.0000
Nb 0.0000 0.0000 3.4316
Nb 0.0000 0.0000 6.2552
Co 2.2222 0.0000 2.4217
Co 0.0000 2.2222 2.4217
```

**E_form**: 0.34 eV/atom
**Excess energy over the best structure of this formula in the dataset**: 319.3 meV/atom

***

# 2
The following is a DFT calculation (PBE) of CaNb2Co2 after structural relaxation.

Structure (extended XYZ):
```
10
Lattice="7.6041 0.0000 0.0000 0.0000 7.6041 0.0000 0.0000 0.0000 2.9128" Properties=species:S:1:pos:R:3 pbc="T T T"
Ca 0.0000 0.0000 0.0000
Ca 3.8021 3.8021 0.0000
Nb 1.1775 2.6246 1.4564
Nb 2.6246 6.4266 1.4564
Nb 4.9795 1.1775 1.4564
Nb 6.4266 4.9795 1.4564
Co 0.9721 4.7742 0.0000
Co 2.8300 0.9721 0.0000
Co 4.7742 6.6320 0.0000
Co 6.6320 2.8300 0.0000
```

**E_form**: 0.16 eV/atom
**Excess energy over the best structure of this formula in the dataset**: 137.7 meV/atom

***

| no. | magnetization (μB per atom) |
| --- | --- |
| 1 | 0.000 |
| 2 | 0.000 |